[1]
GGA-PBE Gd2YTm5, relaxed; energy of formation from the pure elements = 0.0043 eV/atom; calculated total energy = -38.1 eV for the cell shown; spin magnetization = 0.11 μB/cell; mass density = 8.29 g/cm3
1.0
5.590 0.000 0.000
0.000 3.594 6.224
0.000 -3.594 6.224
Gd Y Tm
2 1 5
direct
0.000 0.000 0.000 Gd
0.500 0.333 0.333 Gd
0.500 0.832 0.832 Y
0.000 0.500 0.500 Tm
0.000 0.500 0.998 Tm
0.000 0.998 0.500 Tm
0.500 0.334 0.832 Tm
0.500 0.832 0.334 Tm


[2]
GGA-PBE GdTmZn2, relaxed; energy of formation from the pure elements = -0.3394 eV/atom; calculated total energy = -13.0 eV for the cell shown; spin magnetization = 0.27 μB/cell; mass density = 8.46 g/cm3
1.0
3.562 0.000 0.000
0.000 5.018 0.000
0.000 0.000 5.018
Gd Tm Zn
1 1 2
direct
0.000 0.000 0.000 Gd
0.000 0.500 0.497 Tm
0.500 0.000 0.501 Zn
0.500 0.500 0.996 Zn


[3]
GGA-PBE GdTmZn6, relaxed; energy of formation from the pure elements = -0.2884 eV/atom; calculated total energy = -19.0 eV for the cell shown; spin magnetization = 0.00 μB/cell; mass density = 8.33 g/cm3
1.0
4.654 0.000 0.000
0.000 6.610 0.000
0.000 0.000 4.654
Gd Tm Zn
1 1 6
direct
0.000 0.000 0.000 Gd
0.500 0.500 0.492 Tm
0.000 0.254 0.501 Zn
0.000 0.500 0.000 Zn
0.000 0.746 0.501 Zn
0.500 0.000 0.494 Zn
0.500 0.254 0.992 Zn
0.500 0.746 0.992 Zn


[4]
GGA-PBE GdTmZn6, relaxed; energy of formation from the pure elements = -0.2886 eV/atom; calculated total energy = -19.0 eV for the cell shown; spin magnetization = 0.00 μB/cell; mass density = 8.34 g/cm3
1.0
4.662 0.000 0.000
0.000 4.662 0.000
0.000 0.000 6.585
Gd Tm Zn
1 1 6
direct
0.000 0.000 0.000 Gd
0.500 0.500 0.500 Tm
0.000 0.000 0.500 Zn
0.000 0.500 0.256 Zn
0.000 0.500 0.744 Zn
0.500 0.000 0.256 Zn
0.500 0.000 0.744 Zn
0.500 0.500 0.000 Zn